A plane-wave DFT calculation with PBE was carried out for crystalline BaZrHg at its relaxed geometry.

Properties
As for the space group: F-43m (216). The calculation puts the formation energy at 1059.9 meV per atom.

Structure (POSCAR):
```
BaZrHg
1.0
0.000 3.733 3.733
3.733 0.000 3.733
3.733 3.733 0.000
Ba Zr Hg
1 1 1
direct
0.000 0.000 0.000 Ba
0.750 0.750 0.750 Zr
0.250 0.250 0.250 Hg
```

A plane-wave DFT calculation with PBE was carried out for crystalline Sm5DyTe4 at its relaxed geometry.

Properties
As for the space group: C2/m (12). As for the total DFT energy (no corrections): -5.0505 eV/atom.

Structure (POSCAR):
```
Sm5DyTe4
1.0
9.278 -2.123 0.000
9.278 2.123 0.000
-1.793 0.000 8.419
Sm Dy Te
5 1 4
direct
0.000 0.000 0.000 Sm
0.315 0.315 0.142 Sm
0.334 0.334 0.700 Sm
0.666 0.666 0.300 Sm
0.685 0.685 0.858 Sm
0.000 0.000 0.500 Dy
0.166 0.166 0.572 Te
0.491 0.491 0.250 Te
0.509 0.509 0.750 Te
0.834 0.834 0.428 Te
```

A plane-wave DFT calculation with PBE was carried out for crystalline BeTc2P at its relaxed geometry.

Properties
As for the space group: I-42d (122). The calculation puts the formation energy at 263.1 meV per atom.

Structure (POSCAR):
```
BeTc2P
1.0
-1.839 1.839 8.262
1.839 -1.839 8.262
1.839 1.839 -8.262
Be Tc P
2 4 2
direct
0.000 0.000 0.000 Be
0.750 0.250 0.500 Be
0.090 0.625 0.965 Tc
0.375 0.340 0.465 Tc
0.660 0.125 0.035 Tc
0.875 0.910 0.535 Tc
0.250 0.750 0.500 P
0.500 0.500 0.000 P
```

A plane-wave DFT calculation with PBE was carried out for crystalline ZnHgS2 at its relaxed geometry.

Properties
As for the space group: Pmc2_1 (26). As for the total DFT energy (no corrections): -2.9104 eV/atom.

Structure (POSCAR):
```
ZnHgS2
1.0
4.001 0.000 0.000
0.000 7.028 0.000
0.000 0.000 6.630
Zn Hg S
2 2 4
direct
0.000 0.161 0.000 Zn
0.000 0.839 0.500 Zn
0.500 0.328 0.507 Hg
0.500 0.672 0.007 Hg
0.000 0.145 0.356 S
0.000 0.855 0.856 S
0.500 0.318 0.897 S
0.500 0.682 0.397 S
```

A plane-wave DFT calculation with PBE was carried out for crystalline Re2Br3 at its relaxed geometry.

Properties
As for the space group: R-3m (166). As for the total DFT energy (no corrections): -4.9780 eV/atom.

Structure (POSCAR):
```
Re2Br3
1.0
1.578 0.911 11.431
-1.578 0.911 11.431
0.000 -1.822 11.431
Re Br
2 3
direct
0.106 0.106 0.106 Re
0.894 0.894 0.894 Re
0.282 0.282 0.282 Br
0.500 0.500 0.500 Br
0.718 0.718 0.718 Br
```

A plane-wave DFT calculation with PBE was carried out for crystalline DyCu8Pd3 at its relaxed geometry.

Properties
As for the space group: P3m1 (156). The calculation puts the formation energy at -216.1 meV per atom.

Structure (POSCAR):
```
DyCu8Pd3
1.0
4.916 0.000 0.000
-2.458 4.257 0.000
0.000 0.000 8.005
Dy Cu Pd
1 8 3
direct
0.000 0.000 0.000 Dy
0.165 0.329 0.675 Cu
0.165 0.835 0.675 Cu
0.333 0.667 0.432 Cu
0.333 0.667 0.932 Cu
0.503 0.007 0.193 Cu
0.503 0.497 0.193 Cu
0.671 0.835 0.675 Cu
0.993 0.497 0.193 Cu
0.000 0.000 0.374 Pd
0.667 0.333 0.499 Pd
0.667 0.333 0.865 Pd
```

What is the formula in the sixth record?
DyCu8Pd3